# BaY3Ti GGA-PBEsol relaxed
data_BaY3Ti
_cell_length_a 5.555
_cell_length_b 5.555
_cell_length_c 5.555
_cell_angle_alpha 90.00
_cell_angle_beta 90.00
_cell_angle_gamma 90.00
_symmetry_space_group_name_H-M 'P 1'
_symmetry_Int_Tables_number 1
_symmetry_space_group_name_Hall 'P 1'
loop_
_atom_site_label
_atom_site_fract_x
_atom_site_fract_y
_atom_site_fract_z
Ba1 0.000 0.000 0.000
Y1 0.000 0.500 0.500
Y2 0.500 0.000 0.500
Y3 0.500 0.500 0.000
Ti1 0.500 0.500 0.500
# ΔE_f ... 2.1 eV/f.u.